1.
Entry from the Alexandria database: an optimized crystal structure of ZrZnMo2 (PBE-GGA).

Results
Energy of formation ... 246 meV per atom
Crystal system ... orthorhombic

Cell and atoms, written as CIF:
```
data_ZrZnMo2
_chemical_formula_sum 'Zr1 Zn1 Mo2'
_cell_length_a 2.630
_cell_length_b 4.466
_cell_length_c 5.871
_cell_angle_alpha 90.00
_cell_angle_beta 90.00
_cell_angle_gamma 90.00
_space_group_name_H-M_alt 'P m m m'
_space_group_IT_number 47
loop_
_space_group_symop_operation_xyz
'x,y,z'
'-x,-y,-z'
'-x,-y,z'
'x,y,-z'
'x,-y,-z'
'-x,y,z'
'-x,y,-z'
'x,-y,z'
loop_
_atom_site_label
_atom_site_fract_x
_atom_site_fract_y
_atom_site_fract_z
Zr1 0.000 0.000 0.000
Zn1 0.000 0.000 0.500
Mo1 0.500 0.500 0.278
```



2.
Entry from the Alexandria database: an optimized crystal structure of ZrZnMo2 (PBE-GGA).

Results
Energy of formation ... -61 meV per atom
Crystal system ... tetragonal

Cell and atoms, written as CIF:
```
data_ZrZnMo2
_chemical_formula_sum 'Zr1 Zn1 Mo2'
_cell_length_a 3.268
_cell_length_b 3.268
_cell_length_c 6.411
_cell_angle_alpha 90.00
_cell_angle_beta 90.00
_cell_angle_gamma 90.00
_space_group_name_H-M_alt 'P 4 m m'
_space_group_IT_number 99
loop_
_space_group_symop_operation_xyz
'x,y,z'
'-y,x,z'
'-x,-y,z'
'y,-x,z'
'-x,y,z'
'y,x,z'
'x,-y,z'
'-y,-x,z'
loop_
_atom_site_label
_atom_site_fract_x
_atom_site_fract_y
_atom_site_fract_z
Zr1 0.000 0.000 0.000
Zn1 0.500 0.500 0.722
Mo1 0.000 0.000 0.487
Mo2 0.500 0.500 0.268
```



3.
Entry from the Alexandria database: an optimized crystal structure of ZrZnMo (PBE-GGA).

Results
Energy relative to the lowest polymorph listed for this composition ... 0.245 eV/atom
Energy of formation ... 93 meV per atom
Crystal system ... tetragonal

Cell and atoms, written as CIF:
```
data_ZrZnMo
_chemical_formula_sum 'Zr2 Zn2 Mo2'
_cell_length_a 2.800
_cell_length_b 2.800
_cell_length_c 13.310
_cell_angle_alpha 90.00
_cell_angle_beta 90.00
_cell_angle_gamma 90.00
_space_group_name_H-M_alt 'I 4 m m'
_space_group_IT_number 107
_space_group_name_Hall 'I 4 -2'
loop_
_atom_site_label
_atom_site_fract_x
_atom_site_fract_y
_atom_site_fract_z
Zr1 0.000 0.000 0.000
Zn1 0.000 0.000 0.669
Mo1 0.000 0.000 0.318
```



4.
Entry from the Alexandria database: an optimized crystal structure of ZrZnMo2 (PBE-GGA).

Results
Energy of formation ... 234 meV per atom
Crystal system ... orthorhombic

Cell and atoms, written as CIF:
```
data_ZrZnMo2
_chemical_formula_sum 'Zr2 Zn2 Mo4'
_cell_length_a 5.642
_cell_length_b 9.045
_cell_length_c 2.680
_cell_angle_alpha 90.00
_cell_angle_beta 90.00
_cell_angle_gamma 90.00
_space_group_name_H-M_alt 'C m m m'
_space_group_IT_number 65
_space_group_name_Hall '-C 2 2'
loop_
_atom_site_label
_atom_site_fract_x
_atom_site_fract_y
_atom_site_fract_z
Zr1 0.000 0.000 0.000
Zn1 0.000 0.500 0.000
Mo1 0.250 0.250 0.500
```



5.
Entry from the Alexandria database: an optimized crystal structure of ZrZnMo (PBE-GGA).

Results
Energy relative to the lowest polymorph listed for this composition ... 0.171 eV/atom
Energy of formation ... 19 meV per atom
Crystal system ... tetragonal

Cell and atoms, written as CIF:
```
data_ZrZnMo
_chemical_formula_sum 'Zr2 Zn2 Mo2'
_cell_length_a 3.457
_cell_length_b 3.457
_cell_length_c 8.775
_cell_angle_alpha 90.00
_cell_angle_beta 90.00
_cell_angle_gamma 90.00
_space_group_name_H-M_alt 'I 4 m m'
_space_group_IT_number 107
_space_group_name_Hall 'I 4 -2'
loop_
_atom_site_label
_atom_site_fract_x
_atom_site_fract_y
_atom_site_fract_z
Zr1 0.000 0.000 0.000
Zn1 0.000 0.000 0.322
Mo1 0.000 0.000 0.676
```



6.
Entry from the Alexandria database: an optimized crystal structure of ZrZnMo2 (PBE-GGA).

Results
Energy of formation ... 126 meV per atom
Crystal system ... monoclinic

Cell and atoms, written as CIF:
```
data_ZrZnMo2
_chemical_formula_sum 'Zr2 Zn2 Mo4'
_cell_length_a 5.597
_cell_length_b 9.400
_cell_length_c 2.747
_cell_angle_alpha 90.00
_cell_angle_beta 110.41
_cell_angle_gamma 90.00
_space_group_name_H-M_alt 'C 1 2/m 1'
_space_group_IT_number 12
loop_
_space_group_symop_operation_xyz
'x,y,z'
'-x,-y,-z'
'-x,y,-z'
'x,-y,z'
'x+1/2,y+1/2,z'
'-x+1/2,-y+1/2,-z'
'-x+1/2,y+1/2,-z'
'x+1/2,-y+1/2,z'
loop_
_atom_site_label
_atom_site_fract_x
_atom_site_fract_y
_atom_site_fract_z
Zr1 0.000 0.000 0.000
Zn1 0.000 0.500 0.000
Mo1 0.250 0.250 0.500
```



7.
Entry from the Alexandria database: an optimized crystal structure of Zr2ZnMo (PBE-GGA).

Results
Energy of formation ... 114 meV per atom
Crystal system ... orthorhombic

Cell and atoms, written as CIF:
```
data_Zr2ZnMo
_chemical_formula_sum 'Zr4 Zn2 Mo2'
_cell_length_a 3.682
_cell_length_b 4.370
_cell_length_c 9.343
_cell_angle_alpha 90.00
_cell_angle_beta 90.00
_cell_angle_gamma 90.00
_space_group_name_H-M_alt 'C m m 2'
_space_group_IT_number 35
loop_
_space_group_symop_operation_xyz
'x,y,z'
'-x,-y,z'
'-x,y,z'
'x,-y,z'
'x+1/2,y+1/2,z'
'-x+1/2,-y+1/2,z'
'-x+1/2,y+1/2,z'
'x+1/2,-y+1/2,z'
loop_
_atom_site_label
_atom_site_fract_x
_atom_site_fract_y
_atom_site_fract_z
Zr1 0.000 0.000 0.000
Zr2 0.000 0.500 0.298
Zn1 0.000 0.000 0.538
Mo1 0.000 0.500 0.749
```



8.
Entry from the Alexandria database: an optimized crystal structure of ZrZnMo2 (PBE-GGA).

Results
Energy of formation ... 71 meV per atom
Crystal system ... monoclinic

Cell and atoms, written as CIF:
```
data_ZrZnMo2
_chemical_formula_sum 'Zr1 Zn1 Mo2'
_cell_length_a 2.792
_cell_length_b 4.393
_cell_length_c 5.769
_cell_angle_alpha 90.00
_cell_angle_beta 103.06
_cell_angle_gamma 90.00
_space_group_name_H-M_alt 'P 1 m 1'
_space_group_IT_number 6
loop_
_space_group_symop_operation_xyz
'x,y,z'
'x,-y,z'
loop_
_atom_site_label
_atom_site_fract_x
_atom_site_fract_y
_atom_site_fract_z
Zr1 0.000 0.000 0.000
Zn1 0.413 0.500 0.735
Mo1 0.552 0.500 0.275
Mo2 0.924 0.000 0.482
```